Model w:
Material: Ni2SnTe2
Method: DFT, PBE-GGA
State: relaxed

Unit cell a=8.271 b=8.271 c=8.271 alpha=27.40 beta=27.40 gamma=27.40
Fractional positions:
1 Ni 0.105 0.105 0.105
2 Ni 0.895 0.895 0.895
3 Sn 0.500 0.500 0.500
4 Te 0.277 0.277 0.277
5 Te 0.723 0.723 0.723

Calculated values
* V: 105.8 Å³/cell
* spin magnetization: 0.00 Bohr magnetons per cell
* SG: R-3m, No. 166

Model x:
Material: Ni2SnTe2
Method: DFT, PBE-GGA
State: relaxed

Unit cell a=8.185 b=8.185 c=8.185 alpha=153.50 beta=153.50 gamma=37.83
Fractional positions:
1 Ni 0.250 0.750 0.500
2 Ni 0.750 0.250 0.500
3 Sn 0.000 0.000 0.000
4 Te 0.362 0.362 0.000
5 Te 0.638 0.638 0.000

Calculated values
* V: 109.0 Å³/cell
* spin magnetization: 0.00 Bohr magnetons per cell
* SG: I4/mmm, No. 139

Winner for stability: model w